[1]
# Cs2AuF4 | the Alexandria database | PBE | optimized geometry
data_Cs2AuF4
_symmetry_space_group_name_H-M 'P 4/m m m'
_symmetry_Int_Tables_number 123
_symmetry_space_group_name_Hall '-P 4 2'
_cell_length_a 6.842
_cell_length_b 6.842
_cell_length_c 4.009
_cell_angle_alpha 90.00
_cell_angle_beta 90.00
_cell_angle_gamma 90.00
loop_
_atom_site_label
_atom_site_type_symbol
_atom_site_fract_x
_atom_site_fract_y
_atom_site_fract_z
Cs1 Cs 0.000 0.500 0.000
Au1 Au 0.000 0.000 0.500
F1 F 0.220 0.220 0.500
# - ΔE to the lowest computed polymorph (meV per atom) = 0



[2]
# Cs12Au5F | the Alexandria database | PBE | optimized geometry
data_Cs12Au5F
_symmetry_space_group_name_H-M 'C 1 2/m 1'
_symmetry_Int_Tables_number 12
_cell_length_a 8.835
_cell_length_b 15.568
_cell_length_c 17.493
_cell_angle_alpha 90.00
_cell_angle_beta 90.31
_cell_angle_gamma 90.00
loop_
_symmetry_equiv_pos_as_xyz
'x,y,z'
'-x,-y,-z'
'-x,y,-z'
'x,-y,z'
'x+1/2,y+1/2,z'
'-x+1/2,-y+1/2,-z'
'-x+1/2,y+1/2,-z'
'x+1/2,-y+1/2,z'
loop_
_atom_site_label
_atom_site_type_symbol
_atom_site_fract_x
_atom_site_fract_y
_atom_site_fract_z
Cs1 Cs 0.147 0.149 0.395
Cs2 Cs 0.165 0.000 0.115
Cs3 Cs 0.166 0.334 0.119
Cs4 Cs 0.202 0.500 0.397
Au1 Au 0.000 0.169 0.000
Au2 Au 0.000 0.333 0.500
Au3 Au 0.000 0.500 0.000
F1 F 0.000 0.000 0.500
# - D(E_F) (states/eV per cell) = 28.8



[3]
# Cs12Au5F3 | the Alexandria database | PBE | optimized geometry
data_Cs12Au5F3
_symmetry_space_group_name_H-M 'I a -3 d'
_symmetry_Int_Tables_number 230
_symmetry_space_group_name_Hall '-I 4bd 2c 3'
_cell_length_a 20.441
_cell_length_b 20.441
_cell_length_c 20.441
_cell_angle_alpha 90.00
_cell_angle_beta 90.00
_cell_angle_gamma 90.00
loop_
_atom_site_label
_atom_site_type_symbol
_atom_site_fract_x
_atom_site_fract_y
_atom_site_fract_z
Cs1 Cs 0.026 0.093 0.647
Au1 Au 0.000 0.000 0.000
Au2 Au 0.000 0.250 0.375
F1 F 0.000 0.250 0.125
# - D(E_F) (states/eV per cell) = 115.2



[4]
# Cs2AuF4 | the Alexandria database | PBE | optimized geometry
data_Cs2AuF4
_symmetry_space_group_name_H-M 'I 4/m m m'
_symmetry_Int_Tables_number 139
_symmetry_space_group_name_Hall '-I 4 2'
_cell_length_a 4.754
_cell_length_b 4.754
_cell_length_c 14.264
_cell_angle_alpha 90.00
_cell_angle_beta 90.00
_cell_angle_gamma 90.00
loop_
_atom_site_label
_atom_site_type_symbol
_atom_site_fract_x
_atom_site_fract_y
_atom_site_fract_z
Cs1 Cs 0.000 0.000 0.140
Au1 Au 0.000 0.000 0.500
F1 F 0.000 0.000 0.350
F2 F 0.000 0.500 0.000
# - ΔE to the lowest computed polymorph (meV per atom) = 46
# - D(E_F) (states/eV per cell) = 3.9



[5]
# CsAu3F | the Alexandria database | PBE | optimized geometry
data_CsAu3F
_symmetry_space_group_name_H-M 'P m -3 m'
_symmetry_Int_Tables_number 221
_symmetry_space_group_name_Hall '-P 4 2 3'
_cell_length_a 6.264
_cell_length_b 6.264
_cell_length_c 6.264
_cell_angle_alpha 90.00
_cell_angle_beta 90.00
_cell_angle_gamma 90.00
loop_
_atom_site_label
_atom_site_type_symbol
_atom_site_fract_x
_atom_site_fract_y
_atom_site_fract_z
Cs1 Cs 0.000 0.000 0.000
Au1 Au 0.000 0.000 0.500
F1 F 0.500 0.500 0.500
# - ΔE to the lowest computed polymorph (meV per atom) = 929
# - D(E_F) (states/eV per cell) = 9.5



[6]
# Cs5Au2F2 | the Alexandria database | PBE | optimized geometry
data_Cs5Au2F2
_symmetry_space_group_name_H-M 'C 1 2/m 1'
_symmetry_Int_Tables_number 12
_cell_length_a 16.323
_cell_length_b 6.008
_cell_length_c 8.702
_cell_angle_alpha 90.00
_cell_angle_beta 113.75
_cell_angle_gamma 90.00
loop_
_symmetry_equiv_pos_as_xyz
'x,y,z'
'-x,-y,-z'
'-x,y,-z'
'x,-y,z'
'x+1/2,y+1/2,z'
'-x+1/2,-y+1/2,-z'
'-x+1/2,y+1/2,-z'
'x+1/2,-y+1/2,z'
loop_
_atom_site_label
_atom_site_type_symbol
_atom_site_fract_x
_atom_site_fract_y
_atom_site_fract_z
Cs1 Cs 0.000 0.000 0.000
Cs2 Cs 0.152 0.500 0.901
Cs3 Cs 0.154 0.000 0.556
Au1 Au 0.102 0.500 0.292
F1 F 0.154 0.000 0.885
# - D(E_F) (states/eV per cell) = 9.6



[7]
# Cs3AuF8 | the Alexandria database | PBE | optimized geometry
data_Cs3AuF8
_symmetry_space_group_name_H-M 'P 63 m c'
_symmetry_Int_Tables_number 186
_symmetry_space_group_name_Hall 'P 6c -2c'
_cell_length_a 8.8922
_cell_length_b 8.8922
_cell_length_c 7.9278
_cell_angle_alpha 90.00
_cell_angle_beta 90.00
_cell_angle_gamma 120.00
loop_
_atom_site_label
_atom_site_type_symbol
_atom_site_fract_x
_atom_site_fract_y
_atom_site_fract_z
Cs1 Cs 0.1576 0.3152 0.0000
Au1 Au 0.3333 0.6667 0.5241
F1 F 0.0000 0.0000 0.2446
F2 F 0.1202 0.5601 0.6625
F3 F 0.2257 0.4514 0.3879
F4 F 0.3333 0.6667 0.0224
# - D(E_F) (states/eV per cell) = 19.6



[8]
This record from the Alexandria database describes a relaxed structure of Cs3AuF6. The functional is PBE.

```
data_Cs3AuF6
_symmetry_space_group_name_H-M 'P 1 21/c 1'
_symmetry_Int_Tables_number 14
_cell_length_a 6.390
_cell_length_b 6.390
_cell_length_c 13.367
_cell_angle_alpha 90.00
_cell_angle_beta 118.55
_cell_angle_gamma 90.00
loop_
_symmetry_equiv_pos_as_xyz
'x,y,z'
'-x,-y,-z'
'-x,y+1/2,-z+1/2'
'x,-y+1/2,z+1/2'
loop_
_atom_site_label
_atom_site_type_symbol
_atom_site_fract_x
_atom_site_fract_y
_atom_site_fract_z
Cs1 Cs 0.000 0.000 0.000
Cs2 Cs 0.250 0.000 0.750
Au1 Au 0.500 0.000 0.500
F1 F 0.200 0.071 0.500
F2 F 0.246 0.001 0.245
F3 F 0.429 0.700 0.500
```



| no. | uncorrected energy (eV for the cell shown) | formation energy from raw total energies (eV per atom) |
| --- | --- | --- |
| 1 | -26.50 | -2.0050 |
| 2 | -73.90 | -0.4693 |
| 3 | -375.78 | -0.7364 |
| 4 | -52.37 | -1.9591 |
| 5 | -7.15 | 1.0812 |
| 6 | -52.28 | -1.2863 |
| 7 | -86.95 | -1.8888 |
| 8 | -76.42 | -2.1143 |